(1)
20
Lattice="2.0128 -12.0234 0.0000 2.0128 12.0234 0.0000 0.0000 0.0000 6.4821" Properties=species:S:1:pos:R:3 comment="Er2P3Rh5 PBE-GGA relaxed" space_group=Cmc2_1 dft_energy_ev_per_atom=-7.19 m_tot_mub_per_atom=0.000 delta_e_f_ev_per_atom=-0.979 pbc="T T T"
Er 2.0128 11.5130 3.2411
Er 2.0128 4.2418 3.5293
Er 2.0128 -4.2418 0.2882
Er 2.0128 -11.5130 0.0000
P 2.0128 9.3681 1.5928
P 2.0128 5.3133 0.6577
P 2.0128 1.1224 1.8880
P 2.0128 -1.1224 5.1290
P 2.0128 -5.3133 3.8988
P 2.0128 -9.3681 4.8339
Rh 2.0128 9.7147 5.6648
Rh 2.0128 7.2749 2.5129
Rh 2.0128 6.5743 5.1470
Rh 2.0128 2.9316 0.3120
Rh 2.0128 1.3949 4.3014
Rh 2.0128 -1.3949 1.0604
Rh 2.0128 -2.9316 3.5530
Rh 2.0128 -6.5743 1.9059
Rh 2.0128 -7.2749 5.7540
Rh 2.0128 -9.7147 2.4237


(2)
18
Lattice="7.8926 -1.9297 0.0000 7.8926 1.9297 0.0000 -2.9498 0.0000 9.1575" Properties=species:S:1:pos:R:3 comment="ErP2Rh3 PBE-GGA relaxed" space_group=C2/m dft_energy_ev_per_atom=-7.29 m_tot_mub_per_atom=0.000 delta_e_f_ev_per_atom=-1.053 pbc="T T T"
Er 0.0000 0.0000 0.0000
Er 0.3954 0.0000 6.3352
Er 12.4400 0.0000 2.8224
P 2.7313 0.0000 1.2090
P 4.1130 0.0000 5.0231
P 6.5897 0.0000 2.0237
P 6.2456 0.0000 7.1339
P 8.7223 0.0000 4.1344
P 10.1040 0.0000 7.9485
Rh -0.3310 0.0000 2.9564
Rh 2.3542 0.0000 3.5975
Rh 4.9382 0.0000 0.4318
Rh 3.5669 0.0000 7.2964
Rh 6.4177 0.0000 4.5788
Rh 9.2685 0.0000 1.8611
Rh 7.8972 0.0000 8.7257
Rh 10.4811 0.0000 5.5600
Rh 13.1663 0.0000 6.2011


(3)
21
Lattice="9.5908 0.0000 0.0000 -4.7954 8.3059 0.0000 0.0000 0.0000 3.8589" Properties=species:S:1:pos:R:3 comment="Er2P7Rh12 PBE-GGA relaxed" space_group=P-3 dft_energy_ev_per_atom=-7.37 m_tot_mub_per_atom=0.000 delta_e_f_ev_per_atom=-0.929 pbc="T T T"
Er 0.0000 5.5372 0.9594
Er 4.7954 2.7686 2.8995
P 0.0000 0.0000 0.0000
P -0.7977 3.3724 2.8760
P -1.4760 7.3105 2.8760
P 2.5217 2.3770 0.9829
P 2.2737 5.9289 2.8760
P 6.2714 0.9954 0.9829
P 5.5931 4.9335 0.9829
Rh -2.3037 5.1336 2.8917
Rh -3.0083 7.0496 0.9624
Rh 0.1944 2.1758 0.9624
Rh 1.9815 0.9195 2.8965
Rh 1.5014 3.7440 2.8917
Rh 3.9931 0.5717 0.9672
Rh 0.8023 7.7341 2.8917
Rh 3.2940 4.5619 0.9672
Rh 2.8139 7.3863 0.9624
Rh 4.6010 6.1300 2.8965
Rh 7.8037 1.2563 2.8965
Rh 7.0991 3.1722 0.9672


(4)
17
Lattice="-4.0798 4.0798 4.0798 4.0798 -4.0798 4.0798 4.0798 4.0798 -4.0798" Properties=species:S:1:pos:R:3 comment="Er4P6Rh7 PBE-GGA relaxed" space_group=Im-3m dft_energy_ev_per_atom=-7.13 m_tot_mub_per_atom=0.000 delta_e_f_ev_per_atom=-1.120 pbc="T T T"
Er 2.0399 2.0399 -2.0399
Er 2.0399 -2.0399 2.0399
Er -2.0399 2.0399 2.0399
Er 2.0399 2.0399 2.0399
P 2.6340 0.0000 0.0000
P 5.5256 0.0000 0.0000
P 0.0000 2.6340 0.0000
P 0.0000 0.0000 2.6340
P 0.0000 5.5256 0.0000
P 0.0000 0.0000 5.5256
Rh 0.0000 0.0000 0.0000
Rh 4.0798 2.0399 0.0000
Rh 4.0798 0.0000 2.0399
Rh 2.0399 4.0798 0.0000
Rh 2.0399 0.0000 4.0798
Rh 0.0000 4.0798 2.0399
Rh 0.0000 2.0399 4.0798


(5)
10
Lattice="3.9744 0.0000 0.0000 0.0000 3.9744 0.0000 0.0000 0.0000 10.4684" Properties=species:S:1:pos:R:3 comment="ErPRh3 PBE-GGA relaxed" polymorph_energy_mev_per_atom=0.0 space_group=I4mm dft_energy_ev_per_atom=-7.31 m_tot_mub_per_atom=0.000 delta_e_f_ev_per_atom=-0.905 pbc="T T T"
Er 0.0000 0.0000 0.0000
Er 1.9872 1.9872 5.2342
P 0.0000 0.0000 6.6158
P 1.9872 1.9872 1.3816
Rh 0.0000 0.0000 4.4197
Rh 0.0000 1.9872 2.5571
Rh 0.0000 1.9872 7.7913
Rh 1.9872 0.0000 2.5571
Rh 1.9872 0.0000 7.7913
Rh 1.9872 1.9872 9.6539


(6)
11
Lattice="-1.9696 3.4686 6.5879 1.9696 -3.4686 6.5879 1.9696 3.4686 -6.5879" Properties=species:S:1:pos:R:3 comment="Er3P4Rh4 PBE-GGA relaxed" space_group=Immm dft_energy_ev_per_atom=-7.08 m_tot_mub_per_atom=0.000 delta_e_f_ev_per_atom=-1.190 pbc="T T T"
Er 0.0000 0.0000 0.0000
Er 1.9696 0.0000 4.9875
Er 0.0000 3.4686 1.6004
P 0.0000 0.0000 2.8929
P 1.9696 2.0450 0.0000
P 0.0000 1.4236 6.5879
P 0.0000 0.0000 10.2830
Rh 1.9696 1.4055 -2.3115
Rh 1.9696 1.4055 2.3115
Rh 0.0000 2.0631 4.2764
Rh 0.0000 2.0631 8.8994


(7)
6
Lattice="2.7606 1.5938 3.8460 -2.7606 1.5938 3.8460 0.0000 -3.1877 3.8460" Properties=species:S:1:pos:R:3 comment="Er2PRh3 PBE-GGA relaxed" space_group=R-3m dft_energy_ev_per_atom=-7.08 m_tot_mub_per_atom=0.000 delta_e_f_ev_per_atom=-0.980 pbc="T T T"
Er 0.0000 0.0000 1.4811
Er 0.0000 0.0000 10.0569
P 0.0000 0.0000 5.7690
Rh -1.3803 -0.7969 3.8460
Rh -1.3803 0.7969 7.6920
Rh 0.0000 1.5938 3.8460


(8)
12
Lattice="2.0452 -13.1046 0.0000 2.0452 13.1046 0.0000 0.0000 0.0000 4.0020" Properties=species:S:1:pos:R:3 comment="Er3P2Rh7 PBE-GGA relaxed" space_group=Cmmm dft_energy_ev_per_atom=-7.11 m_tot_mub_per_atom=0.000 delta_e_f_ev_per_atom=-0.782 pbc="T T T"
Er 0.0000 0.0000 0.0000
Er 2.0452 7.8568 0.0000
Er 2.0452 -7.8568 0.0000
P 2.0452 2.2422 2.0010
P 2.0452 -2.2422 2.0010
Rh 2.0452 9.8849 2.0010
Rh 2.0452 5.4616 2.0010
Rh 2.0452 3.2801 0.0000
Rh 2.0452 0.0000 2.0010
Rh 2.0452 -3.2801 0.0000
Rh 2.0452 -5.4616 2.0010
Rh 2.0452 -9.8849 2.0010


(9)
9
Lattice="4.3619 0.0000 0.0000 0.0000 4.3619 0.0000 0.0000 0.0000 9.1547" Properties=species:S:1:pos:R:3 comment="ErP2RuRh5 PBE-GGA relaxed" space_group=P4/mmm dft_energy_ev_per_atom=-7.01 m_tot_mub_per_atom=0.224 delta_e_f_ev_per_atom=-0.184 pbc="T T T"
Er 0.0000 0.0000 0.0000
P 2.1810 2.1810 2.3704
P 2.1810 2.1810 6.7843
Ru 2.1810 2.1810 4.5774
Rh 0.0000 2.1810 1.9806
Rh 0.0000 2.1810 7.1741
Rh 2.1810 0.0000 1.9806
Rh 2.1810 0.0000 7.1741
Rh 2.1810 2.1810 0.0000


(10)
10
Lattice="3.9957 0.0000 0.0000 0.0000 3.9957 0.0000 0.0000 0.0000 9.6863" Properties=species:S:1:pos:R:3 comment="ErP2RuRh PBE-GGA relaxed" space_group=I-4m2 dft_energy_ev_per_atom=-7.45 m_tot_mub_per_atom=0.000 delta_e_f_ev_per_atom=-1.045 pbc="T T T"
Er 0.0000 0.0000 0.0000
Er 1.9978 1.9978 4.8432
P 0.0000 0.0000 3.7136
P 0.0000 0.0000 5.9727
P 1.9978 1.9978 1.1296
P 1.9978 1.9978 8.5567
Ru 0.0000 1.9978 7.2647
Ru 1.9978 0.0000 2.4216
Rh 0.0000 1.9978 2.4216
Rh 1.9978 0.0000 7.2647


(11)
15
Lattice="6.0462 0.0000 0.0000 -3.0231 5.2361 0.0000 0.0000 0.0000 9.2193" Properties=species:S:1:pos:R:3 comment="Er3SbP2Rh9 PBE-GGA relaxed" space_group=P-3m1 dft_energy_ev_per_atom=-7.00 raw_formation_energy_ev_per_atom=-0.678 m_tot_mub_per_atom=0.000 pbc="T T T"
Er 0.0000 0.0000 0.0000
Er 0.0000 3.4908 6.7562
Er 3.0231 1.7454 2.4631
Sb 0.0000 0.0000 4.6097
P 0.0000 3.4908 1.4799
P 3.0231 1.7454 7.7394
Rh -1.5115 2.6181 0.0000
Rh 0.0000 1.5748 2.4968
Rh -1.6593 4.4488 2.4968
Rh 1.3638 0.7874 6.7226
Rh 3.0231 0.0000 0.0000
Rh 1.5115 2.6181 0.0000
Rh 1.6593 4.4488 2.4968
Rh 4.6824 0.7874 6.7226
Rh 3.0231 3.6614 6.7226


(12)
9
Lattice="4.0032 0.0000 0.0000 0.0000 4.0032 0.0000 0.0000 0.0000 10.3728" Properties=species:S:1:pos:R:3 comment="ErScP2Rh5 PBE-GGA relaxed" space_group=P4/mmm dft_energy_ev_per_atom=-7.21 m_tot_mub_per_atom=0.000 delta_e_f_ev_per_atom=-0.718 pbc="T T T"
Er 0.0000 0.0000 0.0000
Sc 0.0000 0.0000 5.1864
P 2.0016 2.0016 2.2616
P 2.0016 2.0016 8.1112
Rh 0.0000 2.0016 3.3077
Rh 0.0000 2.0016 7.0651
Rh 2.0016 0.0000 3.3077
Rh 2.0016 0.0000 7.0651
Rh 2.0016 2.0016 0.0000


(13)
8
Lattice="6.9972 0.0000 0.0000 0.0000 3.9688 0.0000 -2.2538 0.0000 6.7139" Properties=species:S:1:pos:R:3 comment="Er4PRhSe2 PBE-GGA relaxed" space_group=P2/m dft_energy_ev_per_atom=-6.20 raw_formation_energy_ev_per_atom=-1.456 m_tot_mub_per_atom=0.000 pbc="T T T"
Er 1.1656 0.0000 1.5212
Er 0.0302 1.9844 5.1958
Er 4.7132 1.9844 1.5181
Er 3.5778 0.0000 5.1926
P 3.4986 0.0000 0.0000
Rh 0.0000 1.9844 0.0000
Se -1.1269 0.0000 3.3569
Se 2.3717 1.9844 3.3569


(14)
9
Lattice="4.0479 0.0000 0.0000 0.0000 4.0479 0.0000 0.0000 0.0000 10.6488" Properties=species:S:1:pos:R:3 comment="SmErP2Rh5 PBE-GGA relaxed" space_group=P4/mmm dft_energy_ev_per_atom=-7.08 m_tot_mub_per_atom=0.000 delta_e_f_ev_per_atom=-0.762 pbc="T T T"
Sm 0.0000 0.0000 0.0000
Er 0.0000 0.0000 5.3244
P 2.0239 2.0239 2.2665
P 2.0239 2.0239 8.3823
Rh 0.0000 2.0239 3.2631
Rh 0.0000 2.0239 7.3857
Rh 2.0239 0.0000 3.2631
Rh 2.0239 0.0000 7.3857
Rh 2.0239 2.0239 0.0000


(15)
9
Lattice="-3.1299 3.1299 4.4017 3.1299 -3.1299 4.4017 3.1299 3.1299 -4.4017" Properties=species:S:1:pos:R:3 comment="Er2Sn2PRh4 PBE-GGA relaxed" space_group=I4/mmm dft_energy_ev_per_atom=-6.30 m_tot_mub_per_atom=0.000 delta_e_f_ev_per_atom=-0.524 pbc="T T T"
Er 0.0000 0.0000 1.7810
Er 0.0000 0.0000 7.0223
Sn 3.1299 0.0000 2.2008
Sn 0.0000 3.1299 2.2008
P 0.0000 0.0000 4.4017
Rh 1.5245 1.5245 0.0000
Rh 1.6054 -1.6054 4.4017
Rh -1.6054 1.6054 4.4017
Rh 1.6054 1.6054 4.4017


(16)
15
Lattice="6.0473 0.0000 0.0000 -3.0237 5.2371 0.0000 0.0000 0.0000 9.2851" Properties=species:S:1:pos:R:3 comment="Er3SnP2Rh9 PBE-GGA relaxed" space_group=P-3m1 dft_energy_ev_per_atom=-6.98 m_tot_mub_per_atom=0.000 delta_e_f_ev_per_atom=-0.664 pbc="T T T"
Er 0.0000 0.0000 0.0000
Er 0.0000 3.4914 6.8172
Er 3.0237 1.7457 2.4679
Sn 0.0000 0.0000 4.6425
P 0.0000 3.4914 1.4832
P 3.0237 1.7457 7.8018
Rh -1.5118 2.6186 0.0000
Rh 0.0000 1.5630 2.4708
Rh -1.6700 4.4556 2.4708
Rh 1.3536 0.7815 6.8143
Rh 3.0237 0.0000 0.0000
Rh 1.5118 2.6186 0.0000
Rh 1.6700 4.4556 2.4708
Rh 4.6937 0.7815 6.8143
Rh 3.0237 3.6741 6.8143


(17)
18
Lattice="4.5138 2.6061 4.2847 -4.5138 2.6061 4.2847 0.0000 -5.2121 4.2847" Properties=species:S:1:pos:R:3 comment="Sr2ErP3Rh12 PBE-GGA relaxed" space_group=R-3m dft_energy_ev_per_atom=-6.43 m_tot_mub_per_atom=0.000 delta_e_f_ev_per_atom=-0.184 pbc="T T T"
Sr 0.0000 0.0000 1.4946
Sr 0.0000 0.0000 11.3594
Er 0.0000 0.0000 6.4270
P -2.2569 -1.3030 4.2847
P -2.2569 1.3030 8.5693
P 0.0000 2.6061 4.2847
Rh 0.0000 -2.2710 3.6796
Rh -1.9667 1.1355 3.6796
Rh -2.3002 -1.3280 6.5137
Rh 0.0000 -2.6560 6.3403
Rh -2.3002 1.3280 6.3403
Rh -1.9667 -1.1355 9.1744
Rh 1.9667 1.1355 3.6796
Rh 2.3002 -1.3280 6.5137
Rh 0.0000 2.6560 6.5137
Rh 2.3002 1.3280 6.3403
Rh 1.9667 -1.1355 9.1744
Rh 0.0000 2.2710 9.1744


(18)
9
Lattice="3.9916 0.0000 0.0000 0.0000 3.9916 0.0000 0.0000 0.0000 10.3309" Properties=species:S:1:pos:R:3 comment="ErTaP2Rh5 PBE-GGA relaxed" space_group=P4/mmm dft_energy_ev_per_atom=-7.53 m_tot_mub_per_atom=0.000 delta_e_f_ev_per_atom=-0.423 pbc="T T T"
Er 0.0000 0.0000 0.0000
Ta 1.9958 1.9958 5.1655
P 1.9958 1.9958 2.2357
P 1.9958 1.9958 8.0953
Rh 0.0000 1.9958 3.4173
Rh 0.0000 1.9958 6.9136
Rh 1.9958 0.0000 3.4173
Rh 1.9958 0.0000 6.9136
Rh 1.9958 1.9958 0.0000


(19)
15
Lattice="5.8712 0.0000 0.0000 -2.9356 5.0846 0.0000 0.0000 0.0000 9.2886" Properties=species:S:1:pos:R:3 comment="Er3TaP2Rh9 PBE-GGA relaxed" space_group=P-3m1 dft_energy_ev_per_atom=-7.43 m_tot_mub_per_atom=0.000 delta_e_f_ev_per_atom=-0.593 pbc="T T T"
Er 0.0000 0.0000 0.0000
Er 0.0000 3.3897 5.6892
Er 2.9356 1.6949 3.5994
Ta 0.0000 0.0000 4.6443
P 0.0000 3.3897 1.4387
P 2.9356 1.6949 7.8499
Rh -1.4678 2.5423 0.0000
Rh 0.0000 1.6308 2.7600
Rh -1.5232 4.2692 2.7600
Rh 1.4124 0.8154 6.5286
Rh 2.9356 0.0000 0.0000
Rh 1.4678 2.5423 0.0000
Rh 1.5232 4.2692 2.7600
Rh 4.4588 0.8154 6.5286
Rh 2.9356 3.4537 6.5286


(20)
12
Lattice="3.5649 -6.1772 0.0000 3.5649 6.1772 0.0000 -2.4007 0.0000 7.0672" Properties=species:S:1:pos:R:3 comment="Er6Te3PRh2 PBE-GGA relaxed" space_group=C2/m dft_energy_ev_per_atom=-5.91 raw_formation_energy_ev_per_atom=-1.164 m_tot_mub_per_atom=0.002 pbc="T T T"
Er -0.0261 2.0794 5.6032
Er 1.1694 0.0000 1.4675
Er -0.0261 -2.0794 5.6032
Er 4.7553 2.0794 1.4640
Er 3.5597 0.0000 5.5997
Er 4.7553 -2.0794 1.4640
Te -1.2003 0.0000 3.5336
Te 2.3646 2.0428 3.5336
Te 2.3646 -2.0428 3.5336
P 3.5649 0.0000 0.0000
Rh 3.5649 4.1183 0.0000
Rh 3.5649 -4.1183 0.0000